Mg3Te4O11 | PBEsol | optimized geometry

Properties
Symmetry: P-1, No. 2
Energy in Ha/atom: -0.217
Formation energy from raw total energies in eV per atom: -1.62

Lattice parameters (Å, degrees): 8.174 8.332 8.845 64.03 69.10 70.70
Fractional positions:
Mg: 0.417 0.035 0.354
Mg: 0.583 0.965 0.646
Mg: 0.949 0.216 0.658
Mg: 0.459 0.656 0.087
Mg: 0.051 0.784 0.342
Mg: 0.541 0.344 0.913
Te: 0.243 0.719 0.750
Te: 0.838 0.614 0.777
Te: 0.162 0.386 0.223
Te: 0.757 0.281 0.250
Te: 0.317 0.424 0.556
Te: 0.817 0.906 0.050
Te: 0.683 0.576 0.444
Te: 0.183 0.094 0.950
O: 0.847 0.819 0.560
O: 0.365 0.229 0.131
O: 0.153 0.181 0.440
O: 0.427 0.848 0.598
O: 0.573 0.152 0.402
O: 0.669 0.391 0.046
O: 0.273 0.507 0.291
O: 0.331 0.609 0.954
O: 0.918 0.619 0.330
O: 0.772 0.312 0.504
O: 0.082 0.381 0.670
O: 0.642 0.535 0.248
O: 0.635 0.771 0.869
O: 0.095 0.996 0.838
O: 0.265 0.875 0.121
O: 0.358 0.465 0.752
O: 0.228 0.688 0.496
O: 0.735 0.125 0.879
O: 0.905 0.004 0.162
O: 0.396 0.124 0.767
O: 0.604 0.876 0.233
O: 0.727 0.493 0.709


Mg2Ti3O8 | PBEsol | optimized geometry

Properties
Symmetry: C2/m, No. 12
Energy in Ha/atom: -0.307
Distance to the lowest polymorph of the same formula in eV per formula unit: 0.08
Formation energy from raw total energies in eV per atom: -2.95

Lattice parameters (Å, degrees): 4.926 5.922 5.952 119.83 108.12 90.00
Fractional positions:
Mg: 0.652 0.724 0.448
Mg: 0.348 0.276 0.552
Ti: 0.500 0.000 0.000
Ti: 0.000 0.267 0.000
Ti: 0.000 0.733 0.000
O: 0.080 0.394 0.788
O: 0.920 0.606 0.212
O: 0.082 0.892 0.783
O: 0.918 0.108 0.217
O: 0.405 0.890 0.231
O: 0.405 0.341 0.231
O: 0.595 0.659 0.769
O: 0.595 0.110 0.769


MgTi4O8 | PBEsol | optimized geometry

Properties
Symmetry: Cm, No. 8
Energy in Ha/atom: -0.324
Formation energy from raw total energies in eV per atom: -2.89

Lattice parameters (Å, degrees): 2.906 7.349 7.514 79.69 78.85 78.60
Each line ends with the local moment (μB).
Fractional positions:
Mg: 0.331 0.136 0.203  0.00
Ti: 0.627 0.174 0.572  0.31
Ti: 0.143 0.513 0.201  0.06
Ti: 0.839 0.484 0.839  0.38
Ti: 0.353 0.806 0.487  0.15
O: 0.859 0.661 0.621  -0.01
O: 0.459 0.320 0.761  -0.01
O: 0.527 0.660 0.286  0.00
O: 0.143 0.302 0.412  -0.01
O: 0.174 0.001 0.650  -0.01
O: 0.786 0.327 0.102  0.00
O: 0.836 0.982 0.346  0.00
O: 0.218 0.614 0.951  0.00


Mg2Ti3O8 | PBEsol | optimized geometry

Properties
Symmetry: P6_3mc, No. 186
Energy in Ha/atom: -0.308
Distance to the lowest polymorph of the same formula in eV per formula unit: 0.00
Formation energy from raw total energies in eV per atom: -2.96

Lattice parameters (Å, degrees): 5.910 5.910 9.356 90.00 90.00 120.00
Fractional positions:
Mg: 0.667 0.333 0.476
Mg: 0.333 0.667 0.976
Mg: 0.667 0.333 0.083
Mg: 0.333 0.667 0.583
Ti: 0.163 0.326 0.256
Ti: 0.837 0.163 0.756
Ti: 0.674 0.837 0.256
Ti: 0.326 0.163 0.756
Ti: 0.837 0.674 0.756
Ti: 0.163 0.837 0.256
O: 0.836 0.164 0.354
O: 0.164 0.327 0.854
O: 0.673 0.836 0.854
O: 0.327 0.164 0.354
O: 0.836 0.673 0.354
O: 0.164 0.836 0.854
O: 0.519 0.481 0.633
O: 0.481 0.962 0.133
O: 0.038 0.519 0.133
O: 0.962 0.481 0.633
O: 0.000 0.000 0.147
O: 0.000 0.000 0.647
O: 0.333 0.667 0.369
O: 0.519 0.038 0.633
O: 0.481 0.519 0.133
O: 0.667 0.333 0.869


Mg3Ti9O20 | PBEsol | optimized geometry

Properties
Symmetry: Cm, No. 8
Energy in Ha/atom: -0.323
Formation energy from raw total energies in eV per atom: -3.01

Lattice parameters (Å, degrees): 5.201 7.437 10.677 105.46 97.28 109.60
Each line ends with the local moment (μB).
Fractional positions:
Mg: 0.332 0.724 0.501  0.00
Mg: 0.831 0.223 0.499  0.00
Mg: 0.668 0.279 0.000  0.00
Ti: 0.923 0.647 0.682  0.04
Ti: 0.080 0.347 0.813  0.10
Ti: 0.268 0.534 0.187  0.10
Ti: 0.769 0.039 0.187  0.21
Ti: 0.420 0.152 0.685  0.03
Ti: 0.241 0.965 0.318  0.04
Ti: 0.735 0.467 0.315  0.03
Ti: 0.170 0.777 0.000  0.36
Ti: 0.582 0.852 0.813  0.21
O: 0.062 0.688 0.313  0.00
O: 0.954 0.517 0.501  0.00
O: 0.045 0.498 0.000  0.00
O: 0.757 0.129 0.820  -0.01
O: 0.937 0.309 0.180  -0.01
O: 0.251 0.629 0.818  0.00
O: 0.124 0.216 0.636  0.00
O: 0.990 0.079 0.360  0.00
O: 0.488 0.580 0.364  0.00
O: 0.630 0.718 0.640  0.00
O: 0.512 0.422 0.136  0.00
O: 0.014 0.915 0.129  -0.02
O: 0.885 0.786 0.871  -0.02
O: 0.376 0.285 0.864  0.00
O: 0.750 0.375 0.687  0.00
O: 0.254 0.876 0.689  0.00
O: 0.566 0.187 0.311  0.00
O: 0.453 0.016 0.499  0.00
O: 0.530 0.979 0.000  0.00
O: 0.433 0.811 0.182  0.00


MgTi11O20 | PBEsol | optimized geometry

Properties
Symmetry: P2_1/m, No. 11
Energy in Ha/atom: -0.337
Distance to the lowest polymorph of the same formula in eV per formula unit: 0.11
Formation energy from raw total energies in eV per atom: -2.98

Lattice parameters (Å, degrees): 7.461 9.943 10.394 90.00 109.05 90.00
Each line ends with the local moment (μB).
Fractional positions:
Mg: 0.653 0.250 0.773  0.00
Mg: 0.347 0.750 0.227  0.00
Ti: 0.680 0.940 0.730  0.20
Ti: 0.680 0.560 0.730  0.20
Ti: 0.354 0.750 0.724  0.56
Ti: 0.318 0.060 0.776  0.46
Ti: 0.318 0.440 0.776  0.46
Ti: 0.185 0.561 0.974  0.45
Ti: 0.682 0.560 0.224  0.46
Ti: 0.185 0.939 0.974  0.45
Ti: 0.682 0.940 0.224  0.46
Ti: 0.646 0.250 0.276  0.56
Ti: 0.146 0.250 0.025  0.55
Ti: 0.854 0.750 0.975  0.55
Ti: 0.320 0.060 0.270  0.20
Ti: 0.815 0.061 0.026  0.45
Ti: 0.320 0.440 0.270  0.20
Ti: 0.815 0.439 0.026  0.45
Ti: 0.183 0.936 0.477  -0.02
Ti: 0.183 0.564 0.477  -0.02
Ti: 0.157 0.250 0.525  0.31
Ti: 0.843 0.750 0.475  0.31
Ti: 0.817 0.064 0.523  -0.02
Ti: 0.817 0.436 0.523  -0.02
O: 0.731 0.386 0.659  0.00
O: 0.731 0.114 0.659  0.00
O: 0.409 0.934 0.635  0.01
O: 0.409 0.566 0.635  0.01
O: 0.645 0.750 0.789  0.00
O: 0.358 0.250 0.699  0.00
O: 0.593 0.064 0.860  -0.01
O: 0.593 0.436 0.860  -0.01
O: 0.280 0.623 0.837  -0.02
O: 0.280 0.877 0.837  -0.02
O: 0.720 0.377 0.163  -0.02
O: 0.720 0.123 0.163  -0.02
O: 0.227 0.123 0.915  -0.02
O: 0.227 0.377 0.915  -0.02
O: 0.911 0.566 0.888  0.00
O: 0.911 0.934 0.888  0.00
O: 0.407 0.936 0.140  -0.01
O: 0.407 0.564 0.140  -0.01
O: 0.642 0.750 0.301  0.00
O: 0.131 0.750 0.042  0.01
O: 0.355 0.250 0.211  0.00
O: 0.869 0.250 0.958  0.01
O: 0.591 0.066 0.365  0.01
O: 0.591 0.434 0.365  0.01
O: 0.089 0.066 0.112  0.00
O: 0.089 0.434 0.112  0.00
O: 0.269 0.614 0.341  0.00
O: 0.773 0.623 0.085  -0.02
O: 0.773 0.877 0.085  -0.02
O: 0.269 0.886 0.341  0.00
O: 0.224 0.381 0.413  -0.01
O: 0.224 0.119 0.413  -0.01
O: 0.904 0.567 0.390  0.00
O: 0.904 0.933 0.390  0.00
O: 0.130 0.750 0.546  0.01
O: 0.870 0.250 0.454  0.01
O: 0.096 0.067 0.610  0.00
O: 0.096 0.433 0.610  0.00
O: 0.776 0.619 0.587  -0.01
O: 0.776 0.881 0.587  -0.01


MgTi11O20 | PBEsol | optimized geometry

Properties
Symmetry: Cm, No. 8
Energy in Ha/atom: -0.337
Distance to the lowest polymorph of the same formula in eV per formula unit: 0.00
Formation energy from raw total energies in eV per atom: -2.99

Lattice parameters (Å, degrees): 5.227 7.465 10.585 105.59 97.30 109.85
Fractional positions:
Mg: 0.086 0.479 0.000
Ti: 0.672 0.402 0.187
Ti: 0.169 0.905 0.196
Ti: 0.832 0.092 0.304
Ti: 0.335 0.597 0.314
Ti: 0.485 0.215 0.813
Ti: 0.973 0.709 0.804
Ti: 0.021 0.283 0.686
Ti: 0.528 0.787 0.696
Ti: 0.568 0.970 0.000
Ti: 0.420 0.023 0.495
Ti: 0.925 0.529 0.505
O: 0.706 0.255 0.000
O: 0.223 0.770 0.000
O: 0.765 0.246 0.503
O: 0.262 0.743 0.497
O: 0.635 0.534 0.370
O: 0.138 0.045 0.380
O: 0.861 0.963 0.125
O: 0.376 0.465 0.137
O: 0.758 0.665 0.620
O: 0.265 0.164 0.630
O: 0.736 0.838 0.875
O: 0.239 0.328 0.863
O: 0.004 0.376 0.319
O: 0.522 0.873 0.318
O: 0.491 0.127 0.187
O: 0.001 0.627 0.188
O: 0.203 0.555 0.682
O: 0.685 0.057 0.681
O: 0.304 0.940 0.813
O: 0.813 0.439 0.812


Mg2Ti7O15 | PBEsol | optimized geometry

Properties
Symmetry: P2_1/m, No. 11
Energy in Ha/atom: -0.326
Formation energy from raw total energies in eV per atom: -3.01

Lattice parameters (Å, degrees): 5.196 9.992 10.586 90.00 96.06 90.00
Each line ends with the local moment (μB).
Fractional positions:
Mg: 0.510 0.750 0.899  0.00
Mg: 0.490 0.250 0.101  0.00
Mg: 0.828 0.250 0.436  0.00
Mg: 0.172 0.750 0.564  0.00
Ti: 0.609 0.062 0.880  0.20
Ti: 0.609 0.438 0.880  0.20
Ti: 0.391 0.562 0.120  0.20
Ti: 0.391 0.938 0.120  0.20
Ti: 0.725 0.562 0.456  0.02
Ti: 0.725 0.938 0.456  0.02
Ti: 0.937 0.068 0.213  0.06
Ti: 0.937 0.432 0.213  0.06
Ti: 0.275 0.062 0.544  0.02
Ti: 0.275 0.438 0.544  0.02
Ti: 0.838 0.750 0.232  0.37
Ti: 0.162 0.250 0.768  0.37
Ti: 0.063 0.932 0.787  0.06
Ti: 0.063 0.568 0.787  0.06
O: 0.760 0.888 0.848  0.00
O: 0.760 0.612 0.848  0.00
O: 0.685 0.434 0.062  0.00
O: 0.685 0.066 0.062  0.00
O: 0.797 0.250 0.240  0.00
O: 0.456 0.250 0.902  0.00
O: 0.544 0.750 0.098  0.00
O: 0.315 0.934 0.938  0.00
O: 0.649 0.567 0.270  0.00
O: 0.649 0.933 0.270  0.00
O: 0.315 0.566 0.938  0.00
O: 0.240 0.388 0.152  0.00
O: 0.575 0.386 0.485  0.00
O: 0.240 0.112 0.152  0.00
O: 0.575 0.114 0.485  0.00
O: 0.083 0.880 0.183  -0.02
O: 0.083 0.620 0.183  -0.02
O: 0.425 0.614 0.515  0.00
O: 0.425 0.886 0.515  0.00
O: 0.023 0.067 0.396  0.00
O: 0.351 0.433 0.730  0.00
O: 0.023 0.433 0.396  0.00
O: 0.351 0.067 0.730  0.00
O: 0.129 0.250 0.582  0.00
O: 0.871 0.750 0.418  0.00
O: 0.203 0.750 0.760  0.00
O: 0.977 0.933 0.604  0.00
O: 0.977 0.567 0.604  0.00
O: 0.917 0.380 0.817  -0.02
O: 0.917 0.120 0.817  -0.02


| no. | volume (A^3/atom) |
| --- | --- |
| 1 | 13.75 |
| 2 | 10.82 |
| 3 | 11.74 |
| 4 | 10.89 |
| 5 | 11.38 |
| 6 | 11.39 |
| 7 | 11.35 |
| 8 | 11.39 |